Material: Ho3Hf2Si
Method: DFT, GGA-PBE
State: relaxed

Values from the calculation:
total DFT energy (no corrections): -5.645 eV per atom

The structure in POSCAR format:
```
Ho3Hf2Si
1.0
5.959 0.000 0.000
-2.979 5.161 0.000
0.000 0.000 5.321
Ho Hf Si
3 2 1
Direct
0.000 0.500 0.000
0.500 0.000 0.000
0.500 0.500 0.000
0.333 0.667 0.500
0.667 0.333 0.500
0.000 0.000 0.500
```